Entry 1:
A geometry-optimized MgTeP4 structure. Source: Alexandria, functional PBE.

Values from the calculation:
Magnetic moment ... 0.00 μB/f.u.

Cell and atoms, written as CIF:
```
data_MgTeP4
_cell_length_a 8.457
_cell_length_b 8.457
_cell_length_c 8.457
_cell_angle_alpha 90.00
_cell_angle_beta 90.00
_cell_angle_gamma 90.00
_symmetry_space_group_name_H-M 'F -4 3 m'
_symmetry_Int_Tables_number 216
_symmetry_space_group_name_Hall 'F -4 2 3'
loop_
_atom_site_label
_atom_site_fract_x
_atom_site_fract_y
_atom_site_fract_z
Mg1 0.000 0.000 0.000
Te1 0.250 0.250 0.250
P1 0.157 0.157 0.657
```


Entry 2:
A geometry-optimized MgTeP structure. Source: Alexandria, functional PBE.

Values from the calculation:
Magnetic moment ... 0.00 μB/f.u.
Energy relative to the lowest polymorph listed for this composition ... 21 meV/atom

Cell and atoms, written as CIF:
```
data_MgTeP
_cell_length_a 3.6557
_cell_length_b 3.6557
_cell_length_c 38.9131
_cell_angle_alpha 90.00
_cell_angle_beta 90.00
_cell_angle_gamma 120.00
_symmetry_space_group_name_H-M 'R -3 m'
_symmetry_Int_Tables_number 166
_symmetry_space_group_name_Hall '-R 3 2"'
loop_
_atom_site_label
_atom_site_fract_x
_atom_site_fract_y
_atom_site_fract_z
Mg1 0.0000 0.0000 0.0641
Te1 0.0000 0.0000 0.2198
P1 0.0000 0.0000 0.3470
```


Entry 3:
A geometry-optimized MgTeP3 structure. Source: Alexandria, functional PBE.

Values from the calculation:
Magnetic moment ... 0.00 μB/f.u.
Energy relative to the lowest polymorph listed for this composition ... 0 meV/atom

Cell and atoms, written as CIF:
```
data_MgTeP3
_cell_length_a 4.816
_cell_length_b 4.816
_cell_length_c 4.816
_cell_angle_alpha 90.00
_cell_angle_beta 90.00
_cell_angle_gamma 90.00
_symmetry_space_group_name_H-M 'P m -3 m'
_symmetry_Int_Tables_number 221
_symmetry_space_group_name_Hall '-P 4 2 3'
loop_
_atom_site_label
_atom_site_fract_x
_atom_site_fract_y
_atom_site_fract_z
Mg1 0.000 0.000 0.000
Te1 0.500 0.500 0.500
P1 0.000 0.000 0.500
```


Energy relative to the elements, uncorrected for every record listed, in sequence, given in kJ per mole of atoms: 33 -15 90.
N(E_F) for every record listed, in sequence, given in states/eV per cell: 7.115 11.303 3.564.